[1]
This record from Alexandria describes crystalline Te4RhAu at its relaxed geometry. The functional is PBE.

a = 6.6766 Å, b = 6.6883 Å, c = 6.8997 Å
α = 90.00°, β = 87.77°, γ = 90.00°
Last column: nearest neighbours and their distance in Å.
Atoms (fractional coordinates):
Te (0.8607, 0.6371, 0.1076)  2 Rh 2.69-2.71, 1 Te 2.97
Te (0.6393, 0.1371, 0.8924)  2 Rh 2.69-2.71, 1 Te 2.97
Te (0.3830, 0.3862, 0.3603)  1 Rh 2.69, 2 Au 2.80-2.88, 1 Te 2.95
Te (0.1170, 0.8862, 0.6397)  1 Rh 2.69, 2 Au 2.80-2.88, 1 Te 2.95
Te (0.1393, 0.3629, 0.8924)  2 Rh 2.69-2.71, 1 Te 2.97
Te (0.3607, 0.8629, 0.1076)  2 Rh 2.69-2.71, 1 Te 2.97
Te (0.6170, 0.6138, 0.6397)  1 Rh 2.69, 2 Au 2.80-2.88, 1 Te 2.95
Te (0.8830, 0.1138, 0.3603)  1 Rh 2.69, 2 Au 2.80-2.88, 1 Te 2.95
Rh (0.0000, 0.0000, 0.0000)  6 Te 2.69-2.71
Rh (0.5000, 0.5000, 0.0000)  6 Te 2.69-2.71
Au (0.5000, 0.0000, 0.5000)  6 Te 2.80-3.04
Au (0.0000, 0.5000, 0.5000)  6 Te 2.80-3.04

Output
**Distance to the lowest polymorph of the same formula**: 0.044 eV/atom
**Crystal system**: monoclinic
**Formation energy from raw total energies**: -214 meV per atom
**Space-group type**: No. 14
**Density**: 8.74 g cm⁻³
**Volume**: 25.656 Å³/atom

[2]
This record from Alexandria describes crystalline TeRhAu2 at its relaxed geometry. The functional is PBE.

a = 4.8734 Å, b = 4.8734 Å, c = 4.9338 Å
α = 75.47°, β = 75.47°, γ = 43.40°
Last column: nearest neighbours and their distance in Å.
Atoms (fractional coordinates):
Te (0.7791, 0.7791, 0.6930)  3 Rh 2.62-2.89, 1 Au 2.84
Rh (0.4945, 0.4945, 0.5332)  3 Te 2.62-2.89, 2 Au 2.89
Au (0.9907, 0.9907, 0.0257)  3 Au 2.73-2.90, 1 Te 2.84, 2 Rh 3.02
Au (0.2357, 0.2357, 0.2481)  3 Au 2.73-2.90, 3 Rh 2.89-3.04, 2 Te 2.95

Output
**Crystal system**: monoclinic
**Formation energy from raw total energies**: 109 meV per atom
**Space-group type**: No. 8
**Density**: 13.38 g cm⁻³
**Volume**: 19.381 Å³/atom

[3]
This record from Alexandria describes crystalline Te2RhAu at its relaxed geometry. The functional is PBE.

a = 3.6201 Å, b = 3.6201 Å, c = 7.1248 Å
α = 90.00°, β = 90.00°, γ = 90.00°
Last column: nearest neighbours and their distance in Å.
Atoms (fractional coordinates):
Te (0.0000, 0.0000, 0.9038)  1 Au 2.76, 4 Rh 2.84
Te (0.5000, 0.5000, 0.3480)  1 Rh 2.74, 4 Au 2.83
Rh (0.5000, 0.5000, 0.7324)  5 Te 2.74-2.84, 4 Au 2.99
Au (0.0000, 0.0000, 0.5158)  5 Te 2.76-2.83, 4 Rh 2.99

Output
**Distance to the lowest polymorph of the same formula**: 0.247 eV/atom
**Crystal system**: tetragonal
**Formation energy from raw total energies**: 6 meV per atom
**Space-group type**: No. 99
**Density**: 9.87 g cm⁻³
**Volume**: 23.344 Å³/atom